Entry 1:
The following is a PBE-GGA calculation of crystalline Sc2AgPd7 at its relaxed geometry, from the Alexandria database.

a = 8.7265 Å, b = 8.7265 Å, c = 2.9152 Å
α = 90.00°, β = 90.00°, γ = 122.59°
Fractional positions:
Sc1 0.1764 0.8236 0.0000
Sc2 0.8236 0.1764 0.0000
Ag1 0.5000 0.5000 0.5000
Pd1 0.0000 0.0000 0.0000
Pd2 0.1705 0.3673 0.0000
Pd3 0.3161 0.6839 0.5000
Pd4 0.3673 0.1705 0.0000
Pd5 0.6327 0.8295 0.0000
Pd6 0.6839 0.3161 0.5000
Pd7 0.8295 0.6327 0.0000

## Properties
Calculated formation energy in eV/atom: -0.12
Volume in Å³/atom: 18.71
DOS at the Fermi energy in states/eV/atom: 0.61
SG: Cmmm (65)
Final energy in eV/atom: -5.310

=====

Entry 2:
The following is a PBE-GGA calculation of crystalline Sc6AgPd3 at its relaxed geometry, from the Alexandria database.

a = 8.3347 Å, b = 5.6778 Å, c = 11.7159 Å
α = 90.00°, β = 131.82°, γ = 90.00°
Fractional positions:
Sc1 0.1110 0.0412 0.4314
Sc2 0.1110 0.4588 0.9314
Sc3 0.2857 0.5456 0.4475
Sc4 0.2857 0.9544 0.9475
Sc5 0.3872 0.7031 0.7533
Sc6 0.3872 0.7969 0.2533
Sc7 0.6128 0.2031 0.7467
Sc8 0.6128 0.2969 0.2467
Sc9 0.7143 0.0456 0.0525
Sc10 0.7143 0.4544 0.5525
Sc11 0.8890 0.5412 0.0686
Sc12 0.8890 0.9588 0.5686
Ag1 0.0000 0.0000 0.0000
Ag2 0.0000 0.5000 0.5000
Pd1 0.2870 0.1837 0.7425
Pd2 0.2870 0.3163 0.2425
Pd3 0.5000 0.0000 0.5000
Pd4 0.5000 0.5000 0.0000
Pd5 0.7130 0.6837 0.7575
Pd6 0.7130 0.8163 0.2575

## Properties
Calculated formation energy in eV/atom: -0.45
Volume in Å³/atom: 20.66
DOS at the Fermi energy in states/eV/atom: 1.06
SG: P2_1/c (14)
Final energy in eV/atom: -6.087

=====

Entry 3:
The following is a PBE-GGA calculation of crystalline Sc2AgPd at its relaxed geometry, from the Alexandria database.

a = 6.0531 Å, b = 6.0531 Å, c = 6.0531 Å
α = 103.51°, β = 103.51°, γ = 122.20°
Fractional positions:
Sc1 0.1026 0.6250 0.9776
Sc2 0.3750 0.3526 0.4776
Sc3 0.6474 0.1250 0.0224
Sc4 0.8750 0.8974 0.5224
Ag1 0.2500 0.7500 0.5000
Ag2 0.5000 0.5000 0.0000
Pd1 0.0000 0.0000 0.0000
Pd2 0.7500 0.2500 0.5000

## Properties
Calculated formation energy in eV/atom: -0.19
Volume in Å³/atom: 20.54
DOS at the Fermi energy in states/eV/atom: 1.32
SG: I-42d (122)
Final energy in eV/atom: -5.363

=====

Entry 4:
The following is a PBE-GGA calculation of crystalline ScAg2Pd at its relaxed geometry, from the Alexandria database.

a = 3.9715 Å, b = 3.9715 Å, c = 4.5495 Å
α = 90.00°, β = 90.00°, γ = 90.00°
Fractional positions:
Sc1 0.0000 0.0000 0.0000
Ag1 0.0000 0.5000 0.5000
Ag2 0.5000 0.0000 0.5000
Pd1 0.5000 0.5000 0.0000

## Properties
Calculated formation energy in eV/atom: -0.34
Relative energy among the computed polymorphs in eV/atom: 0.109
Volume in Å³/atom: 17.94
DOS at the Fermi energy in states/eV/atom: 0.84
SG: P4/mmm (123)
Final energy in eV/atom: -4.643

=====

Entry 5:
The following is a PBE-GGA calculation of crystalline Sc3AgPd at its relaxed geometry, from the Alexandria database.

a = 5.0846 Å, b = 5.0846 Å, c = 5.0846 Å
α = 90.00°, β = 90.00°, γ = 90.00°
Fractional positions:
Sc1 0.0000 0.0000 0.5000
Sc2 0.0000 0.5000 0.0000
Sc3 0.5000 0.0000 0.0000
Ag1 0.0000 0.0000 0.0000
Pd1 0.5000 0.5000 0.5000

## Properties
Calculated formation energy in eV/atom: 0.42
Relative energy among the computed polymorphs in eV/atom: 0.420
Volume in Å³/atom: 26.29
DOS at the Fermi energy in states/eV/atom: 2.42
SG: Pm-3m (221)
Final energy in eV/atom: -4.986

=====

Entry 6:
The following is a PBE-GGA calculation of crystalline ScAgPd3 at its relaxed geometry, from the Alexandria database.

a = 6.6186 Å, b = 6.6186 Å, c = 5.0589 Å
α = 90.00°, β = 90.00°, γ = 120.00°
Fractional positions:
Sc1 0.3333 0.6667 0.2500
Sc2 0.6667 0.3333 0.7500
Ag1 0.0000 0.0000 0.0000
Ag2 0.0000 0.0000 0.5000
Pd1 0.2023 0.4046 0.7500
Pd2 0.2023 0.7977 0.7500
Pd3 0.4046 0.2023 0.2500
Pd4 0.5954 0.7977 0.7500
Pd5 0.7977 0.2023 0.2500
Pd6 0.7977 0.5954 0.2500

## Properties
Calculated formation energy in eV/atom: -0.14
Relative energy among the computed polymorphs in eV/atom: 0.312
Volume in Å³/atom: 19.19
DOS at the Fermi energy in states/eV/atom: 0.40
SG: P6_3/mmc (194)
Final energy in eV/atom: -5.090

=====

Entry 7:
The following is a PBE-GGA calculation of crystalline ScAgPd4 at its relaxed geometry, from the Alexandria database.

a = 4.9552 Å, b = 4.9552 Å, c = 5.7702 Å
α = 106.82°, β = 106.82°, γ = 46.85°
Fractional positions:
Sc1 0.0000 0.0000 0.0000
Ag1 0.0000 0.0000 0.5000
Pd1 0.3340 0.3340 0.1679
Pd2 0.3349 0.3349 0.6728
Pd3 0.6651 0.6651 0.3272
Pd4 0.6660 0.6660 0.8321

## Properties
Calculated formation energy in eV/atom: -0.51
Relative energy among the computed polymorphs in eV/atom: 0.000
Volume in Å³/atom: 16.35
DOS at the Fermi energy in states/eV/atom: 0.32
SG: C2/m (12)
Final energy in eV/atom: -5.499

=====

Entry 8:
The following is a PBE-GGA calculation of crystalline Sc4AgPd3 at its relaxed geometry, from the Alexandria database.

a = 4.7019 Å, b = 4.7019 Å, c = 6.7528 Å
α = 90.00°, β = 90.00°, γ = 90.00°
Fractional positions:
Sc1 0.0000 0.5000 0.2430
Sc2 0.0000 0.5000 0.7570
Sc3 0.5000 0.0000 0.2430
Sc4 0.5000 0.0000 0.7570
Ag1 0.0000 0.0000 0.5000
Pd1 0.0000 0.0000 0.0000
Pd2 0.5000 0.5000 0.0000
Pd3 0.5000 0.5000 0.5000

## Properties
Calculated formation energy in eV/atom: -0.73
Volume in Å³/atom: 18.66
DOS at the Fermi energy in states/eV/atom: 0.73
SG: P4/mmm (123)
Final energy in eV/atom: -6.204

=====

Entry 9:
The following is a PBE-GGA calculation of crystalline Sc2AgPd at its relaxed geometry, from the Alexandria database.

a = 10.0670 Å, b = 10.0670 Å, c = 10.0670 Å
α = 17.49°, β = 17.49°, γ = 17.49°
Fractional positions:
Sc1 0.0840 0.0840 0.0840
Sc2 0.9160 0.9160 0.9160
Ag1 0.5000 0.5000 0.5000
Pd1 0.0000 0.0000 0.0000

## Properties
Calculated formation energy in eV/atom: -0.02
Volume in Å³/atom: 20.11
DOS at the Fermi energy in states/eV/atom: 0.82
SG: R-3m (166)
Final energy in eV/atom: -5.199

=====

Entry 10:
The following is a PBE-GGA calculation of crystalline Sc3AgPd4 at its relaxed geometry, from the Alexandria database.

a = 7.9783 Å, b = 7.9783 Å, c = 7.9783 Å
α = 33.93°, β = 33.93°, γ = 33.93°
Fractional positions:
Sc1 0.0000 0.0000 0.0000
Sc2 0.2423 0.2423 0.2423
Sc3 0.7577 0.7577 0.7577
Ag1 0.5000 0.5000 0.5000
Pd1 0.1181 0.1181 0.1181
Pd2 0.3708 0.3708 0.3708
Pd3 0.6292 0.6292 0.6292
Pd4 0.8819 0.8819 0.8819

## Properties
Calculated formation energy in eV/atom: -0.78
Volume in Å³/atom: 17.63
DOS at the Fermi energy in states/eV/atom: 0.58
SG: R-3m (166)
Final energy in eV/atom: -6.104

=====

Entry 11:
The following is a PBE-GGA calculation of crystalline Sc2AgPd at its relaxed geometry, from the Alexandria database.

a = 6.1051 Å, b = 6.1051 Å, c = 6.1051 Å
α = 151.49°, β = 130.04°, γ = 58.53°
Fractional positions:
Sc1 0.2361 0.2361 0.0000
Sc2 0.7639 0.7639 0.0000
Ag1 0.5000 0.5000 0.0000
Pd1 0.0000 0.0000 0.0000

## Properties
Calculated formation energy in eV/atom: 0.12
Volume in Å³/atom: 20.64
DOS at the Fermi energy in states/eV/atom: 0.68
SG: Immm (71)
Final energy in eV/atom: -5.057

=====

Entry 12:
The following is a PBE-GGA calculation of crystalline ScAg2Pd at its relaxed geometry, from the Alexandria database.

a = 6.0387 Å, b = 6.0387 Å, c = 6.0387 Å
α = 101.59°, β = 101.59°, γ = 126.75°
Fractional positions:
Sc1 0.0000 0.0000 0.0000
Sc2 0.7500 0.2500 0.5000
Ag1 0.1407 0.6250 0.0157
Ag2 0.3750 0.3907 0.5157
Ag3 0.6093 0.1250 0.9843
Ag4 0.8750 0.8593 0.4843
Pd1 0.2500 0.7500 0.5000
Pd2 0.5000 0.5000 0.0000

## Properties
Calculated formation energy in eV/atom: -0.03
Relative energy among the computed polymorphs in eV/atom: 0.416
Volume in Å³/atom: 19.72
DOS at the Fermi energy in states/eV/atom: 0.86
SG: I-42d (122)
Final energy in eV/atom: -4.335